1.
InSn3Au2 | PBE | optimized geometry

For the formation enthalpy at 0 K, the calculation gives -0.098 eV per atom.

The space group is Ibam (No. 72) and the conventional cell measures 6.8156, 13.1130 and 7.1759 Å, with angles of 90.00, 90.00 and 90.00 degrees. The asymmetric unit holds In at (0.0000, 0.0000, 0.0000), Sn at (0.0000, 0.2275, 0.2500), Sn at (0.0000, 0.5000, 0.2500) and Au at (0.1972, 0.3621, 0.0000).

2.
PmEuAlZn | PBE | optimized geometry

For the formation enthalpy at 0 K, the calculation gives -0.273 eV per atom.

The space group is F-43m (No. 216) and the conventional cell measures 7.4627, 7.4627 and 7.4627 Å, with angles of 90.00, 90.00 and 90.00 degrees. The asymmetric unit holds Pm at (0.0000, 0.0000, 0.0000), Eu at (0.0000, 0.0000, 0.5000), Al at (0.2500, 0.2500, 0.7500) and Zn at (0.2500, 0.2500, 0.2500).

3.
VAgBr4 | PBE | optimized geometry

The formation energy (no corrections) is -0.64 eV per atom. The value obtained for the energy above the lowest structure with this stoichiometry is 0.0 meV per atom.

The space group is C2/c (No. 15) and the conventional cell measures 8.1549, 15.7981 and 6.4786 Å, with angles of 90.00, 116.15 and 90.00 degrees. The asymmetric unit holds V at (0.0000, 0.0603, 0.2500), Ag at (0.0000, 0.2181, 0.7500), Br at (0.1924, 0.1787, 0.1974) and Br at (0.2016, 0.0503, 0.6845).

4.
Ag4Se2F3 | PBE | optimized geometry

The formation energy (no corrections) is -0.66 eV per atom.

The space group is C2/c (No. 15) and the conventional cell measures 12.1611, 6.1733 and 11.1913 Å, with angles of 90.00, 120.67 and 90.00 degrees. The asymmetric unit holds Ag at (0.0323, 0.1535, 0.1424), Ag at (0.0921, 0.3669, 0.6235), Se at (0.1657, 0.3776, 0.4416), F at (0.0000, 0.2768, 0.7500) and F at (0.2063, 0.0195, 0.7170).

5.
TaPtS3 | PBE | optimized geometry

The formation energy (no corrections) is 0.34 eV per atom. The value obtained for the energy above the lowest structure with this stoichiometry is 0.0 meV per atom.

The space group is Pm-3m (No. 221) and the conventional cell measures 4.7429, 4.7429 and 4.7429 Å, with angles of 90.00, 90.00 and 90.00 degrees. The asymmetric unit holds Ta at (0.0000, 0.0000, 0.0000), Pt at (0.5000, 0.5000, 0.5000) and S at (0.0000, 0.0000, 0.5000).

6.
MgPa3Se2O6 | PBE | optimized geometry

The formation energy (no corrections) is -2.75 eV per atom.

The space group is C2/m (No. 12) and the conventional cell measures 11.9945, 7.5066 and 5.7737 Å, with angles of 90.00, 106.18 and 90.00 degrees. The asymmetric unit holds Mg at (0.0000, 0.0000, 0.0000), Pa at (0.0000, 0.5000, 0.5000), Pa at (0.2500, 0.2500, 0.0000), Se at (0.2085, 0.5000, 0.3481), O at (0.0807, 0.3000, 0.7665) and O at (0.1658, 0.0000, 0.0793).

VASP energy (eV per atom)
-3.649, -5.284, -3.750, -3.330, -5.714, -8.314
Total magnetic moment (μB/f.u.)
0.00, 7.46, 2.00, 0.00, 1.07, 1.10